Entry 1:
Compound: ScTa2TeMo
Source: the Alexandria database
Functional: GGA-PBEsol
Structure: optimized geometry

Geometry as POSCAR:
```
ScTa2TeMo
1.0
4.799 0.000 0.000
0.000 4.799 0.000
0.000 0.000 5.102
Sc Mo Te Ta
1 1 1 2
direct
0.500 0.500 0.500
0.000 0.000 0.000
0.000 0.000 0.500
0.000 0.500 0.000
0.500 0.000 0.000
```

Results
V   23.50 Å³/atom
Symmetry   P4/mmm, No. 123
Calculated total energy   -41.5 eV/cell

***

Entry 2:
Compound: MgAlOsPb2
Source: the Alexandria database
Functional: GGA-PBEsol
Structure: optimized geometry

Geometry as POSCAR:
```
MgAlOsPb2
1.0
4.922 0.000 0.000
0.000 5.187 0.000
0.000 0.000 5.187
Pb Mg Os Al
2 1 1 1
direct
0.000 0.000 0.500
0.000 0.500 0.000
0.500 0.000 0.000
0.500 0.500 0.500
0.000 0.000 0.000
```

Results
ΔH_f (0 K)   1.566 eV/atom
V   26.49 Å³/atom
Symmetry   P4/mmm, No. 123

***

Entry 3:
Compound: FeSi2Ir
Source: the Alexandria database
Functional: GGA-PBEsol
Structure: optimized geometry

Geometry as POSCAR:
```
FeSi2Ir
1.0
2.776 0.000 0.025
0.000 3.787 0.000
-0.050 0.000 4.870
Fe Ir Si
1 1 2
direct
0.500 0.500 0.500
0.000 0.500 0.000
0.798 0.000 0.725
0.202 0.000 0.275
```

Results
V   12.80 Å³/atom
Symmetry   P2/m, No. 10
Calculated total energy   -31.1 eV/cell

***

Entry 4:
Compound: Ge3PbAu
Source: the Alexandria database
Functional: GGA-PBEsol
Structure: optimized geometry

Geometry as POSCAR:
```
Ge3PbAu
1.0
-4.765 -1.991 1.233
-0.940 -0.934 -5.141
2.145 -4.833 0.486
Pb Ge Au
1 3 1
direct
0.000 0.000 0.000
0.000 0.500 0.000
0.000 0.000 0.500
0.500 0.000 0.000
0.500 0.500 0.500
```

Results
ΔH_f (0 K)   1.312 eV/atom
V   29.94 Å³/atom
Symmetry   Pm-3m, No. 221

***

M_tot per entry: 0.000, 0.385, 0.350, 0.000 μB per atom